# 1
DFT (PBE) results for a relaxed ZrInNiIr crystal.

As for the calculated volume: 271 Å³ per cell. The total DFT energy (no corrections) is -111.51 eV for the cell shown. The calculation puts the magnetization at 0.0000 μB/atom. The formation enthalpy at 0 K comes out at -0.49 eV/atom.

The structure belongs to space group F-43m (No. 216); the cell edges are 6.4716, 6.4716 and 6.4716 Å and the angles 90.00°, 90.00° and 90.00°. The distinct sites, in fractional coordinates, are Zr at (0.0000, 0.0000, 0.0000), In at (0.0000, 0.0000, 0.5000), Ni at (0.2500, 0.2500, 0.7500) and Ir at (0.2500, 0.2500, 0.2500).

# 2
DFT (PBE) results for a relaxed Na2SrUO6 crystal.

As for the calculated volume: 307 Å³ per cell. The total DFT energy (no corrections) is -135.72 eV for the cell shown. Its formation energy without anion corrections is -2250.5 meV/atom. The calculation puts the magnetization at 0.2088 μB/atom.

The structure belongs to space group P2_1/c (No. 14); the cell edges are 5.9298, 6.1172 and 10.2657 Å and the angles 90.00°, 124.44° and 90.00°. The distinct sites, in fractional coordinates, are Na at (0.2337, 0.0383, 0.2351), Sr at (0.0000, 0.0000, 0.5000), U at (0.5000, 0.0000, 0.0000), O at (0.1662, 0.1613, 0.9560), O at (0.2649, 0.7258, 0.9208) and O at (0.3941, 0.0819, 0.7802).

# 3
DFT (PBE) results for a relaxed PrSm4Sc3 crystal.

As for the calculated volume: 490 Å³ per cell. The total DFT energy (no corrections) is -83.29 eV for the cell shown. The calculation puts the magnetization at 0.0000 μB/atom. The relative energy among the computed polymorphs comes out at 0.068 eV per atom. The formation enthalpy at 0 K comes out at 0.13 eV/atom.

The structure belongs to space group C2/m (No. 12); the cell edges are 15.8275, 5.6355 and 5.8978 Å and the angles 90.00°, 111.25° and 90.00°. The distinct sites, in fractional coordinates, are Pr at (0.0000, 0.0000, 0.0000), Sm at (0.1314, 0.0000, 0.5776), Sm at (0.2449, 0.5000, 0.8063), Sc at (0.0000, 0.5000, 0.5000) and Sc at (0.1284, 0.5000, 0.1817).

# 4
DFT (PBE) results for a relaxed InRe2Pb crystal.

As for the calculated volume: 223 Å³ per cell. The total DFT energy (no corrections) is -81.62 eV for the cell shown. The calculation puts the magnetization at 0.0000 μB/atom. The relative energy among the computed polymorphs comes out at 0.717 eV per atom. The formation enthalpy at 0 K comes out at 1.03 eV/atom.

The structure belongs to space group R-3m (No. 166, hexagonal axes); the cell edges are 3.0665, 3.0665 and 27.3549 Å and the angles 90.00°, 90.00° and 120.00°. The distinct sites, in fractional coordinates, are In at (0.0000, 0.0000, 0.0000), Re at (0.0000, 0.0000, 0.2508) and Pb at (0.0000, 0.0000, 0.5000).

# 5
DFT (PBE) results for a relaxed ErTmZrZn crystal.

As for the calculated volume: 97 Å³ per cell. The total DFT energy (no corrections) is -19.45 eV for the cell shown. The calculation puts the magnetization at 0.0000 μB/atom. The formation enthalpy at 0 K comes out at -0.15 eV/atom.

The structure belongs to space group P4mm (No. 99); the cell edges are 3.3941, 3.3941 and 8.4140 Å and the angles 90.00°, 90.00° and 90.00°. The distinct sites, in fractional coordinates, are Er at (0.0000, 0.0000, 0.0000), Tm at (0.0000, 0.0000, 0.5456), Zr at (0.5000, 0.5000, 0.2739) and Zn at (0.5000, 0.5000, 0.7711).

# 6
DFT (PBE) results for a relaxed MnAsBr2 crystal.

As for the calculated volume: 250 Å³ per cell. The total DFT energy (no corrections) is -35.14 eV for the cell shown. Its formation energy without anion corrections is -101.2 meV/atom. The calculation puts the magnetization at 0.5693 μB/atom. The relative energy among the computed polymorphs comes out at 0.127 eV per atom.

The structure belongs to space group Cmmm (No. 65); the cell edges are 4.8373, 14.1777 and 3.6496 Å and the angles 90.00°, 90.00° and 90.00°. The distinct sites, in fractional coordinates, are Mn at (0.0000, 0.0000, 0.0000), As at (0.0000, 0.5000, 0.0000) and Br at (0.0000, 0.1291, 0.5000).

# 7
DFT (PBE) results for a relaxed MnSbPtI2 crystal.

As for the calculated volume: 142 Å³ per cell. The total DFT energy (no corrections) is -18.29 eV for the cell shown. Its formation energy without anion corrections is 828.3 meV/atom. The calculation puts the magnetization at 0.5241 μB/atom. The relative energy among the computed polymorphs comes out at 0.263 eV per atom.

The structure belongs to space group P4/mmm (No. 123); the cell edges are 5.1842, 5.1842 and 5.2778 Å and the angles 90.00°, 90.00° and 90.00°. The distinct sites, in fractional coordinates, are Mn at (0.0000, 0.0000, 0.0000), Sb at (0.0000, 0.0000, 0.5000), Pt at (0.5000, 0.5000, 0.5000) and I at (0.0000, 0.5000, 0.0000).

# 8
DFT (PBE) results for a relaxed La2Pm3Ir2 crystal.

As for the calculated volume: 414 Å³ per cell. The total DFT energy (no corrections) is -91.04 eV for the cell shown. The calculation puts the magnetization at 0.0000 μB/atom. The formation enthalpy at 0 K comes out at -0.53 eV/atom.

The structure belongs to space group C2/m (No. 12); the cell edges are 12.5074, 3.9458 and 9.2898 Å and the angles 90.00°, 115.49° and 90.00°. The distinct sites, in fractional coordinates, are La at (0.1709, 0.0000, 0.3060), Pm at (0.0000, 0.5000, 0.5000), Pm at (0.1182, 0.5000, 0.9227) and Ir at (0.1805, 0.0000, 0.7434).

# 9
DFT (PBE) results for a relaxed NpTcH crystal.

As for the calculated volume: 91 Å³ per cell. The total DFT energy (no corrections) is -50.73 eV for the cell shown. The calculation puts the magnetization at 1.0431 μB/atom. The relative energy among the computed polymorphs comes out at 0.255 eV per atom.

The structure belongs to space group I4mm (No. 107); the cell edges are 3.3498, 3.3498 and 8.1127 Å and the angles 90.00°, 90.00° and 90.00°. The distinct sites, in fractional coordinates, are Np at (0.0000, 0.0000, 0.0000), Tc at (0.0000, 0.0000, 0.2911) and H at (0.0000, 0.0000, 0.5185).

# 10
DFT (PBE) results for a relaxed Mg2Br3Cl crystal.

As for the calculated volume: 356 Å³ per cell. The total DFT energy (no corrections) is -39.01 eV for the cell shown. Its formation energy without anion corrections is -1575.0 meV/atom. The calculation puts the magnetization at 0.0000 μB/atom.

The structure belongs to space group P-3m1 (No. 164); the cell edges are 7.6337, 7.6337 and 7.0615 Å and the angles 90.00°, 90.00° and 120.00°. The distinct sites, in fractional coordinates, are Mg at (0.0000, 0.0000, 0.0000), Mg at (0.0000, 0.5000, 0.0000), Br at (0.1661, 0.3322, 0.2185) and Cl at (0.3333, 0.6667, 0.8165).

# 11
DFT (PBE) results for a relaxed NaLaSmMg crystal.

As for the calculated volume: 511 Å³ per cell. The total DFT energy (no corrections) is -48.11 eV for the cell shown. The calculation puts the magnetization at 0.0030 μB/atom. The formation enthalpy at 0 K comes out at 0.13 eV/atom.

The structure belongs to space group F-43m (No. 216); the cell edges are 7.9957, 7.9957 and 7.9957 Å and the angles 90.00°, 90.00° and 90.00°. The distinct sites, in fractional coordinates, are Na at (0.0000, 0.0000, 0.0000), La at (0.2500, 0.2500, 0.2500), Sm at (0.2500, 0.2500, 0.7500) and Mg at (0.0000, 0.0000, 0.5000).

# 12
DFT (PBE) results for a relaxed Ge3SeI crystal.

As for the calculated volume: 148 Å³ per cell. The total DFT energy (no corrections) is -15.74 eV for the cell shown. Its formation energy without anion corrections is 629.8 meV/atom. The calculation puts the magnetization at 0.0000 μB/atom. The relative energy among the computed polymorphs comes out at 0.000 eV per atom.

The structure belongs to space group Pm-3m (No. 221); the cell edges are 5.2941, 5.2941 and 5.2941 Å and the angles 90.00°, 90.00° and 90.00°. The distinct sites, in fractional coordinates, are Ge at (0.0000, 0.0000, 0.5000), Se at (0.0000, 0.0000, 0.0000) and I at (0.5000, 0.5000, 0.5000).